# 1
VASP calculation (PBE-GGA) on a relaxed structure of Cr2SeCl2.

Output
**Fermi-level density of states**: 9.42 states/eV per cell
**Uncorrected formation energy**: -0.02 eV/atom
**Magnetization**: 16.000 Bohr magnetons per cell

Lattice parameters (Å, degrees): 4.133 4.133 11.939 90.00 90.00 90.00
Space group I4/mmm (No. 139)
Asymmetric unit:
Cr: 0.000 0.000 0.125 (multiplicity 4)
Se: 0.000 0.000 0.500 (multiplicity 2)
Cl: 0.000 0.500 0.250 (multiplicity 4)


# 2
VASP calculation (PBE-GGA) on a relaxed structure of Cr2SeCl.

Output
**Fermi-level density of states**: 2.06 states/eV per cell
**Uncorrected formation energy**: -0.16 eV/atom
**Magnetization**: 8.980 Bohr magnetons per cell
**E above lowest polymorph**: 0.03 eV per formula unit

Lattice parameters (Å, degrees): 3.842 3.842 5.362 90.00 90.00 90.00
Space group P4/mmm (No. 123)
Asymmetric unit:
Cr: 0.000 0.000 0.000 (multiplicity 1)
Cr: 0.500 0.500 0.500 (multiplicity 1)
Se: 0.000 0.000 0.500 (multiplicity 1)
Cl: 0.500 0.500 0.000 (multiplicity 1)


# 3
VASP calculation (PBE-GGA) on a relaxed structure of CrSe2Cl.

Output
**Fermi-level density of states**: 5.99 states/eV per cell
**Uncorrected formation energy**: 0.04 eV/atom
**Magnetization**: 9.051 Bohr magnetons per cell
**E above lowest polymorph**: 2.06 eV per formula unit

Lattice parameters (Å, degrees): 3.732 3.732 13.332 90.00 90.00 90.00
Space group I4/mmm (No. 139)
Asymmetric unit:
Cr: 0.000 0.000 0.000 (multiplicity 2)
Se: 0.000 0.500 0.250 (multiplicity 4)
Cl: 0.000 0.000 0.500 (multiplicity 2)


# 4
VASP calculation (PBE-GGA) on a relaxed structure of CrSe2Cl.

Output
**Uncorrected formation energy**: -0.44 eV/atom
**Magnetization**: 6.000 Bohr magnetons per cell
**E above lowest polymorph**: 0.15 eV per formula unit

Lattice parameters (Å, degrees): 11.726 3.409 5.724 90.00 106.23 90.00
Space group Cm (No. 8)
Asymmetric unit:
Cr: 0.000 0.000 0.000 (multiplicity 2)
Se: 0.336 0.000 0.936 (multiplicity 2)
Se: 0.459 0.000 0.663 (multiplicity 2)
Cl: 0.123 0.500 0.245 (multiplicity 2)


# 5
VASP calculation (PBE-GGA) on a relaxed structure of CrSe2Cl.

Output
**Fermi-level density of states**: 7.90 states/eV per cell
**Uncorrected formation energy**: -0.02 eV/atom
**Magnetization**: 3.353 Bohr magnetons per cell
**E above lowest polymorph**: 1.85 eV per formula unit

Lattice parameters (Å, degrees): 3.075 5.077 11.062 90.00 90.00 90.00
Space group Immm (No. 71)
Asymmetric unit:
Cr: 0.000 0.000 0.000 (multiplicity 2)
Se: 0.000 0.500 0.328 (multiplicity 4)
Cl: 0.000 0.000 0.500 (multiplicity 2)


# 6
VASP calculation (PBE-GGA) on a relaxed structure of CrSe2Cl.

Output
**Fermi-level density of states**: 7.78 states/eV per cell
**Uncorrected formation energy**: 0.46 eV/atom
**Magnetization**: 10.151 Bohr magnetons per cell
**E above lowest polymorph**: 3.76 eV per formula unit

Lattice parameters (Å, degrees): 2.9263 2.9263 35.7636 90.00 90.00 120.00
Space group R-3m (No. 166, hexagonal axes)
Asymmetric unit:
Cr: 0.0000 0.0000 0.0000 (multiplicity 3)
Se: 0.0000 0.0000 0.0679 (multiplicity 6)
Cl: 0.0000 0.0000 0.5000 (multiplicity 3)


# 7
VASP calculation (PBE-GGA) on a relaxed structure of CrSe2Cl.

Output
**Fermi-level density of states**: 7.03 states/eV per cell
**Uncorrected formation energy**: -0.24 eV/atom
**Magnetization**: 5.348 Bohr magnetons per cell
**E above lowest polymorph**: 0.96 eV per formula unit

Lattice parameters (Å, degrees): 3.4982 3.4982 22.7031 90.00 90.00 120.00
Space group R-3m (No. 166, hexagonal axes)
Asymmetric unit:
Cr: 0.0000 0.0000 0.0000 (multiplicity 3)
Se: 0.0000 0.0000 0.2697 (multiplicity 6)
Cl: 0.0000 0.0000 0.5000 (multiplicity 3)


# 8
VASP calculation (PBE-GGA) on a relaxed structure of CrSe2Cl.

Output
**Fermi-level density of states**: 1.77 states/eV per cell
**Uncorrected formation energy**: 0.02 eV/atom
**Magnetization**: 4.515 Bohr magnetons per cell
**E above lowest polymorph**: 2.01 eV per formula unit

Lattice parameters (Å, degrees): 3.723 3.723 6.637 90.00 90.00 90.00
Space group P4/mmm (No. 123)
Asymmetric unit:
Cr: 0.000 0.000 0.000 (multiplicity 1)
Se: 0.000 0.500 0.500 (multiplicity 2)
Cl: 0.500 0.500 0.000 (multiplicity 1)


# 9
VASP calculation (PBE-GGA) on a relaxed structure of CrSe2Cl.

Output
**Fermi-level density of states**: 0.49 states/eV per cell
**Uncorrected formation energy**: -0.36 eV/atom
**Magnetization**: 9.000 Bohr magnetons per cell
**E above lowest polymorph**: 0.48 eV per formula unit

Lattice parameters (Å, degrees): 3.8132 3.8132 22.4495 90.00 90.00 120.00
Space group R-3m (No. 166, hexagonal axes)
Asymmetric unit:
Cr: 0.0000 0.0000 0.0000 (multiplicity 3)
Se: 0.0000 0.0000 0.3894 (multiplicity 6)
Cl: 0.0000 0.0000 0.5000 (multiplicity 3)


# 10
VASP calculation (PBE-GGA) on a relaxed structure of CrSeCl2.

Output
**Fermi-level density of states**: 2.31 states/eV per cell
**Uncorrected formation energy**: 0.08 eV/atom
**Magnetization**: 4.468 Bohr magnetons per cell
**E above lowest polymorph**: 2.82 eV per formula unit

Lattice parameters (Å, degrees): 3.399 4.092 6.130 90.00 90.00 90.00
Space group Pmmm (No. 47)
Asymmetric unit:
Cr: 0.000 0.000 0.000 (multiplicity 1)
Se: 0.500 0.000 0.500 (multiplicity 1)
Cl: 0.000 0.500 0.500 (multiplicity 1)
Cl: 0.500 0.500 0.000 (multiplicity 1)


# 11
VASP calculation (PBE-GGA) on a relaxed structure of Cr2SeCl.

Output
**Fermi-level density of states**: 2.49 states/eV per cell
**Uncorrected formation energy**: -0.13 eV/atom
**Magnetization**: 1.743 Bohr magnetons per cell
**E above lowest polymorph**: 0.17 eV per formula unit

Lattice parameters (Å, degrees): 3.576 3.560 6.238 90.00 90.13 90.00
Space group Pm (No. 6)
Asymmetric unit:
Cr: 0.000 0.000 0.000 (multiplicity 1)
Cr: 0.500 0.500 0.001 (multiplicity 1)
Se: 0.499 0.000 0.738 (multiplicity 1)
Cl: 0.001 0.500 0.240 (multiplicity 1)


# 12
VASP calculation (PBE-GGA) on a relaxed structure of Cr2SiSeCl.

Output
**Fermi-level density of states**: 2.94 states/eV per cell
**Uncorrected formation energy**: 0.57 eV/atom
**Magnetization**: 8.295 Bohr magnetons per cell

Lattice parameters (Å, degrees): 4.979 4.979 4.665 90.00 90.00 90.00
Space group P4/mmm (No. 123)
Asymmetric unit:
Cr: 0.000 0.500 0.000 (multiplicity 2)
Si: 0.000 0.000 0.000 (multiplicity 1)
Se: 0.000 0.000 0.500 (multiplicity 1)
Cl: 0.500 0.500 0.500 (multiplicity 1)


# 13
VASP calculation (PBE-GGA) on a relaxed structure of Th2CrSe2Cl4.

Output
**Fermi-level density of states**: 3.66 states/eV per cell
**Uncorrected formation energy**: -1.25 eV/atom
**Magnetization**: 2.090 Bohr magnetons per cell

Lattice parameters (Å, degrees): 3.6142 3.6142 22.4925 90.00 90.00 120.00
Space group P3m1 (No. 156)
Asymmetric unit:
Th: 0.0000 0.0000 0.0000 (multiplicity 1)
Th: 0.3333 0.6667 0.3427 (multiplicity 1)
Cr: 0.3333 0.6667 0.6805 (multiplicity 1)
Se: 0.0000 0.0000 0.6141 (multiplicity 1)
Se: 0.0000 0.0000 0.7469 (multiplicity 1)
Cl: 0.0000 0.0000 0.2531 (multiplicity 1)
Cl: 0.0000 0.0000 0.4316 (multiplicity 1)
Cl: 0.3333 0.6667 0.0895 (multiplicity 1)
Cl: 0.3333 0.6667 0.9112 (multiplicity 1)


# 14
VASP calculation (PBE-GGA) on a relaxed structure of Ti2CrSe2Cl4.

Output
**Fermi-level density of states**: 0.96 states/eV per cell
**Uncorrected formation energy**: -1.17 eV/atom
**Magnetization**: 0.000 Bohr magnetons per cell

Lattice parameters (Å, degrees): 3.2526 3.2526 21.6057 90.00 90.00 120.00
Space group P3m1 (No. 156)
Asymmetric unit:
Ti: 0.0000 0.0000 0.0000 (multiplicity 1)
Ti: 0.3333 0.6667 0.3244 (multiplicity 1)
Cr: 0.3333 0.6667 0.6701 (multiplicity 1)
Se: 0.0000 0.0000 0.5979 (multiplicity 1)
Se: 0.0000 0.0000 0.7423 (multiplicity 1)
Cl: 0.0000 0.0000 0.2507 (multiplicity 1)
Cl: 0.0000 0.0000 0.3980 (multiplicity 1)
Cl: 0.3333 0.6667 0.0737 (multiplicity 1)
Cl: 0.3333 0.6667 0.9264 (multiplicity 1)


# 15
VASP calculation (PBE-GGA) on a relaxed structure of TlCrSeCl2.

Output
**Fermi-level density of states**: 2.23 states/eV per cell
**Uncorrected formation energy**: -0.66 eV/atom
**Magnetization**: 2.998 Bohr magnetons per cell

Lattice parameters (Å, degrees): 4.930 4.930 4.989 90.00 90.00 90.00
Space group P4/mmm (No. 123)
Asymmetric unit:
Tl: 0.000 0.000 0.000 (multiplicity 1)
Cr: 0.500 0.500 0.500 (multiplicity 1)
Se: 0.500 0.500 0.000 (multiplicity 1)
Cl: 0.000 0.500 0.500 (multiplicity 2)